GGA-PBE KFe2Cl, relaxed; symmetry = I4_1/amd; ΔE to the lowest computed polymorph = 507 meV/atom
1.0
-0.4586 -4.4908 -0.1553
2.3524 -0.1069 -3.8544
10.0805 -3.4254 3.6009
K Fe Cl
2 4 2
Cartesian
0.0000 0.0000 0.0000
5.2844 -5.1075 0.7204
2.6422 -2.5538 0.3602
3.8184 -2.6072 -1.5670
8.8587 -4.3199 0.2335
8.6294 -6.5653 0.1558
0.9469 -2.2989 -2.0048
6.6899 -2.9156 -1.1292



GGA-PBE KFe2Cl, relaxed; symmetry = Pm; ΔE to the lowest computed polymorph = 0 meV/atom
1.0
-3.0431 0.8919 0.0778
-0.2544 -0.5777 -3.3272
-2.1931 -7.4601 -0.2635
K Fe Cl
1 2 1
Cartesian
-1.2833 -4.2061 -1.9768
-0.2884 -0.7531 -2.6456
-1.9354 -0.8954 -0.7712
-3.4618 -5.8879 -3.2418



GGA-PBE KFeCl2, relaxed; symmetry = Pmmm; ΔE to the lowest computed polymorph = 273 meV/atom
1.0
-4.1518 2.1005 1.9757
-2.6326 -1.3015 -4.1485
-0.8116 -2.9630 1.4446
K Fe Cl
1 1 2
Cartesian
-1.7221 -2.1323 -1.3519
-2.4817 -0.4313 1.7102
0.0000 0.0000 0.0000
-3.3922 0.3995 -1.0864



GGA-PBE K3FeCl6, relaxed; VASP energy = -3.6695 eV per atom; symmetry = R-3
1.0
-6.5863 2.7422 -4.5905
2.3937 -5.1960 -6.2645
-4.7612 -6.1141 3.4526
K Fe Cl
6 2 12
Cartesian
-4.2008 -8.2340 -5.2102
-6.3784 -3.9996 -7.4774
-0.6183 -2.7020 -4.4525
-8.3355 -5.8660 -2.9498
-2.5754 -4.5683 0.0750
-4.7530 -0.3339 -2.1922
0.0000 0.0000 0.0000
-4.4769 -4.2840 -3.7012
0.2093 -4.6758 -6.8128
-1.7118 -9.1927 -3.4673
-4.0171 -5.1750 -5.7855
-4.5627 -1.6875 -8.7059
-5.2523 -6.3308 -2.9537
-2.3501 -4.8847 -3.0187
-6.6036 -3.6832 -4.3836
-3.7014 -2.2371 -4.4487
-4.3911 -6.8805 1.3035
-4.9366 -3.3929 -1.6169
-7.2420 0.6247 -3.9351
-9.1630 -3.8921 -0.5895



GGA-PBE KFe2Cl, relaxed; symmetry = C2/m; ΔE to the lowest computed polymorph = 267 meV/atom
1.0
-2.5064 -0.9374 5.6702
-1.7782 -3.7039 4.7361
3.8197 -0.2255 3.6455
K Fe Cl
1 2 1
Cartesian
-0.3487 -3.6501 10.5389
-3.5512 -4.4750 10.4853
-0.9660 -2.5998 6.9469
-0.1162 -1.2167 3.5130



GGA-PBE KFeCl2, relaxed; symmetry = P4/mmm; ΔE to the lowest computed polymorph = 0 meV/atom
1.0
4.8751 0.0000 0.0000
0.0000 4.1089 -0.0020
0.0000 0.0022 4.8672
K Fe Cl
1 1 2
Cartesian
2.4375 3.0846 4.2572
0.0000 1.0278 1.8242
0.0000 1.0267 4.2584
2.4375 1.0296 1.8253



GGA-PBE KLiFe2Cl8, relaxed; VASP energy = -4.0587 eV per atom; symmetry = C2/m
1.0
-0.9162 6.4291 0.3130
-5.1137 1.9285 -3.5215
-5.8803 -0.5680 7.1037
K Li Fe Cl
1 1 2 8
Cartesian
-2.9401 -0.2840 3.5519
0.0000 0.0000 0.0000
-5.0298 5.0844 -0.4615
-6.8803 2.7052 4.3567
-6.6068 4.8325 4.9800
-4.7512 6.3379 -2.2377
-6.7614 5.6470 0.7737
-5.1487 2.1426 3.1215
-7.1589 1.4516 6.1329
-8.7005 2.5877 3.0675
-3.2097 5.2018 0.8277
-5.3033 2.9570 -1.0848



GGA-PBE K2LiFeCl6, relaxed; VASP energy = -3.8043 eV per atom; symmetry = Pmmn
1.0
-4.3465 -5.4178 -1.1099
1.2387 -2.3297 6.5209
-7.6259 5.4242 3.3865
K Li Fe Cl
4 2 2 12
Cartesian
-3.1508 -3.0998 5.1812
-5.4094 3.4853 4.1710
-6.9639 -0.3875 6.8746
-1.5967 0.7733 2.4779
-2.8850 0.9670 6.5780
-1.8625 -3.2934 1.0811
-5.6774 -0.5776 2.7640
0.9299 -1.7488 4.8951
-3.8335 -1.8899 1.9490
-7.5199 0.7322 3.5860
-0.9140 -0.4366 5.7101
-4.8535 2.3656 7.4596
-4.9265 1.2939 1.4572
-7.0266 -1.3238 0.9209
-4.3269 0.1690 4.6092
-6.4288 -2.4509 4.0725
-2.6652 -5.2933 2.4768
-0.4206 -2.4955 3.0500
0.1790 -3.6204 6.2019
-2.0674 -6.4204 5.6283